# 1
A plane-wave DFT calculation with PBE was carried out for an optimized crystal structure of DyMgZnIn.

Output
Density in Mg/m³: 6.8
Fermi-level density of states in states/eV/cell: 4.84
Raw total energy in eV per atom: -2.86

Unit cell a=7.105 b=7.105 c=7.105 alpha=90.00 beta=90.00 gamma=90.00
Space group F-43m (No. 216)
Inequivalent atoms, fractional coordinates:
Dy  0.000  0.000  0.000 (multiplicity 4)
Mg  0.000  0.000  0.500 (multiplicity 4)
Zn  0.250  0.250  0.250 (multiplicity 4)
In  0.250  0.250  0.750 (multiplicity 4)


# 2
A plane-wave DFT calculation with PBE was carried out for an optimized crystal structure of AcPm6Er8.

Output
Density in Mg/m³: 7.4
Fermi-level density of states in states/eV/cell: 70.60
Raw total energy in eV per atom: -4.15

Unit cell a=8.7296 b=8.7296 c=24.7139 alpha=90.00 beta=90.00 gamma=120.00
Space group R-3 (No. 148, hexagonal axes)
Inequivalent atoms, fractional coordinates:
Ac  0.0000  0.0000  0.0000 (multiplicity 3)
Pm  0.0351  0.2739  0.6134 (multiplicity 18)
Er  0.0000  0.0000  0.2908 (multiplicity 6)
Er  0.0158  0.7694  0.1960 (multiplicity 18)